Material: Y8HoTm2
Method: DFT, GGA-PBE
State: relaxed

POSCAR file:
```
Y8HoTm2
1.0
7.1360 -3.2864 0.0000
7.1360 3.2864 0.0000
-5.0654 0.0000 7.7350
Y Ho Tm
8 1 2
direct
0.1247 0.1247 0.8032
0.1346 0.6456 0.5562
0.3544 0.8654 0.4438
0.3592 0.3592 0.8615
0.6408 0.6408 0.1385
0.6456 0.1346 0.5562
0.8654 0.3544 0.4438
0.8753 0.8753 0.1968
0.0000 0.0000 0.0000
0.3211 0.3211 0.2002
0.6789 0.6789 0.7998
```

Calculated values
Distance to the lowest polymorph of the same formula   126 meV per atom
V   32.981 Å³ per atom
VASP energy   -5.642 eV per atom
Calculated density   5.557 g/cm3

Material: Y9Ho11Tm4
Method: DFT, GGA-PBE
State: relaxed

POSCAR file:
```
Y9Ho11Tm4
1.0
8.3105 -12.5408 0.0000
8.3105 12.5408 0.0000
0.0000 0.0000 3.6404
Y Ho Tm
9 11 4
direct
0.0000 0.0000 0.0000
0.1310 0.6638 0.0000
0.2848 0.4306 0.0000
0.3362 0.8690 0.0000
0.4306 0.2848 0.0000
0.5694 0.7152 0.0000
0.6638 0.1310 0.0000
0.7152 0.5694 0.0000
0.8690 0.3362 0.0000
0.0924 0.4542 0.5000
0.1322 0.8678 0.5000
0.2066 0.2066 0.5000
0.3406 0.6594 0.5000
0.4542 0.0924 0.5000
0.5000 0.5000 0.5000
0.5458 0.9076 0.5000
0.6594 0.3406 0.5000
0.7934 0.7934 0.5000
0.8678 0.1322 0.5000
0.9076 0.5458 0.5000
0.0538 0.2559 0.0000
0.2559 0.0538 0.0000
0.7441 0.9462 0.0000
0.9462 0.7441 0.0000
```

Calculated values
V   31.617 Å³ per atom
VASP energy   -5.223 eV per atom
Calculated density   7.200 g/cm3

Material: Y3Ho2Tm8
Method: DFT, GGA-PBE
State: relaxed

POSCAR file:
```
Y3Ho2Tm8
1.0
3.7600 -10.0829 0.0000
3.7600 10.0829 0.0000
0.0000 0.0000 5.5366
Y Ho Tm
3 2 8
direct
0.0000 0.0000 0.0000
0.2837 0.2837 0.5000
0.7163 0.7163 0.5000
0.2416 0.7584 0.0000
0.7584 0.2416 0.0000
0.1341 0.8659 0.5000
0.1771 0.3972 0.0000
0.3328 0.6672 0.5000
0.3972 0.1771 0.0000
0.6028 0.8229 0.0000
0.6672 0.3328 0.5000
0.8229 0.6028 0.0000
0.8659 0.1341 0.5000
```

Calculated values
Distance to the lowest polymorph of the same formula   130 meV per atom
V   32.292 Å³ per atom
VASP energy   -4.695 eV per atom
Calculated density   7.706 g/cm3

Material: Y11Ho9Tm4
Method: DFT, GGA-PBE
State: relaxed

POSCAR file:
```
Y11Ho9Tm4
1.0
8.3068 -12.5474 0.0000
8.3068 12.5474 0.0000
0.0000 0.0000 3.6546
Y Ho Tm
11 9 4
direct
0.0000 0.0000 0.0000
0.0449 0.4066 0.0000
0.1597 0.8403 0.0000
0.2933 0.2933 0.0000
0.3680 0.6320 0.0000
0.4066 0.0449 0.0000
0.5934 0.9551 0.0000
0.6320 0.3680 0.0000
0.7067 0.7067 0.0000
0.8403 0.1597 0.0000
0.9551 0.5934 0.0000
0.0703 0.2149 0.5000
0.1650 0.6310 0.5000
0.2149 0.0703 0.5000
0.3690 0.8350 0.5000
0.5000 0.5000 0.5000
0.6310 0.1650 0.5000
0.7851 0.9297 0.5000
0.8350 0.3690 0.5000
0.9297 0.7851 0.5000
0.2437 0.4460 0.5000
0.4460 0.2437 0.5000
0.5540 0.7563 0.5000
0.7563 0.5540 0.5000
```

Calculated values
V   31.743 Å³ per atom
VASP energy   -5.377 eV per atom
Calculated density   6.840 g/cm3

Material: Y3Ho2Tm4
Method: DFT, GGA-PBE
State: relaxed

POSCAR file:
```
Y3Ho2Tm4
1.0
8.2720 -5.7351 0.0000
8.2720 5.7351 0.0000
-0.7231 0.0000 5.8902
Y Ho Tm
6 4 8
direct
0.1525 0.8475 0.7500
0.1816 0.4866 0.9160
0.4866 0.1816 0.4160
0.5134 0.8184 0.5840
0.8184 0.5134 0.0840
0.8475 0.1525 0.2500
0.0050 0.7867 0.2172
0.2133 0.9950 0.2828
0.7867 0.0050 0.7172
0.9950 0.2133 0.7828
0.1223 0.3393 0.3796
0.3293 0.5456 0.4524
0.3393 0.1223 0.8796
0.4544 0.6707 0.0476
0.5456 0.3293 0.9524
0.6607 0.8777 0.1204
0.6707 0.4544 0.5476
0.8777 0.6607 0.6204
```

Calculated values
V   31.048 Å³ per atom
VASP energy   -5.053 eV per atom
Calculated density   7.561 g/cm3

Material: Y2Ho8Tm3
Method: DFT, GGA-PBE
State: relaxed

POSCAR file:
```
Y2Ho8Tm3
1.0
3.7685 -10.1519 0.0000
3.7685 10.1519 0.0000
0.0000 0.0000 5.5355
Y Ho Tm
2 8 3
direct
0.2412 0.7588 0.0000
0.7588 0.2412 0.0000
0.1307 0.8693 0.5000
0.1804 0.3949 0.0000
0.3366 0.6634 0.5000
0.3949 0.1804 0.0000
0.6051 0.8196 0.0000
0.6634 0.3366 0.5000
0.8196 0.6051 0.0000
0.8693 0.1307 0.5000
0.0000 0.0000 0.0000
0.2835 0.2835 0.5000
0.7165 0.7165 0.5000
```

Calculated values
V   32.580 Å³ per atom
VASP energy   -4.608 eV per atom
Calculated density   7.857 g/cm3